## ZnBPd3 (PBE-GGA)

Data for a geometry-optimized ZnBPd3 structure.

Values from the calculation:
The total energy comes out at -24.8 eV/cell. Its crystal system is cubic. As for the formation energy from the elements: -0.2503 eV per atom. As for the space-group type: Pm-3m, No. 221. The spin magnetization is 0.0 μB per formula unit. The calculation puts the energy above the most stable polymorph in this dataset at 1.73 kcal/mol of atoms. As for the density: 9.2 g cm⁻³. For the density of states at the Fermi level, the calculation gives 3.8 states/eV/cell.

Lattice parameters (Å, degrees): 4.154 4.154 4.154 90.00 90.00 90.00
Positions (direct):
Pd: 0.000 0.000 0.500
Zn: 0.500 0.500 0.500
Pd: 0.000 0.500 0.000
B: 0.000 0.000 0.000
Pd: 0.500 0.000 0.000